A geometry-optimized K2Co3PdF12 structure. Source: Alexandria via LeMat-Bulk, functional PBE with a Hubbard U.

Geometry as POSCAR:
```
K2Co3PdF12
1.0
3.716 2.146 5.795
-3.716 2.146 5.795
0.000 -4.291 5.795
K Co Pd F
2 3 1 12
Cartesian
0.000 0.000 2.134
0.000 0.000 15.252
-1.858 -1.073 5.795
-1.858 1.073 11.591
0.000 2.146 5.795
0.000 0.000 8.693
-1.730 -0.999 7.708
0.000 -1.694 5.600
-1.467 0.847 5.600
0.000 -1.997 9.679
-1.730 0.999 9.679
-1.467 -0.847 11.786
1.467 0.847 5.600
1.730 -0.999 7.708
0.000 1.997 7.708
1.467 -0.847 11.786
0.000 1.694 11.786
1.730 0.999 9.679
```

## Properties
Its uncorrected energy is -4.558 eV/atom. The density of states at the Fermi level comes out at 6.65 states/eV/cell.